[1]
BaAg2P4 | PBE | relaxed

Output
Its total energy is -0.3274 Ry per atom.

The structure in extended XYZ format:
```
14
Lattice="0.000 4.326 11.207 3.359 0.000 11.207 3.359 4.326 0.000" Properties=species:S:1:pos:R:3 pbc="T T T"
Ba 0.840 1.082 2.802
Ba 5.878 7.571 19.613
Ag 2.519 3.245 0.761
Ag 4.198 5.408 6.365
Ag 2.519 3.245 16.050
Ag 4.198 5.408 21.654
P 2.966 2.232 6.648
P 2.072 2.232 10.163
P 2.072 4.257 6.648
P 3.751 4.395 12.252
P 2.966 4.257 10.163
P 4.646 4.395 15.767
P 4.646 6.420 12.252
P 3.751 6.420 15.767
```

[2]
BaAg8P4 | PBE | relaxed

Output
Its total energy is -0.2649 Ry per atom.

The structure in extended XYZ format:
```
13
Lattice="-5.605 5.605 2.156 5.605 -5.605 2.156 5.605 5.605 -2.156" Properties=species:S:1:pos:R:3 pbc="T T T"
Ba 0.000 0.000 0.000
Ag 7.169 0.210 0.000
Ag 3.757 2.644 0.000
Ag 2.961 -1.848 2.156
Ag 0.210 4.042 0.000
Ag 5.396 1.564 2.156
Ag 2.644 7.454 0.000
Ag 1.848 2.961 2.156
Ag -1.564 5.396 2.156
P 6.345 2.699 0.000
P 2.699 4.866 0.000
P 2.906 0.739 2.156
P -0.739 2.906 2.156
```